DFT (GGA-PBEsol) results for a geometry-optimized Cs2GaSiW structure.

Cell: 6.874 6.874 4.916 Å, 90.00 90.00 90.00°
Space group P4/mmm (No. 123)
One atom of each set of equivalent atoms:
Cs 0.000 0.500 0.000 [2 per cell]
Ga 0.000 0.000 0.000 [1 per cell]
Si 0.500 0.500 0.500 [1 per cell]
W 0.000 0.000 0.500 [1 per cell]

Results
DOS(E_F), states/eV/f.u.: 4.8
Raw formation energy, eV/atom: 1.70

DFT (GGA-PBEsol) results for a geometry-optimized CsGa3Sn structure.

Cell: 5.510 5.510 5.510 Å, 90.00 90.00 90.00°
Space group Pm-3m (No. 221)
One atom of each set of equivalent atoms:
Cs 0.000 0.000 0.000 [1 per cell]
Ga 0.000 0.500 0.500 [3 per cell]
Sn 0.500 0.500 0.500 [1 per cell]

Results
DOS(E_F), states/eV/f.u.: 3.2
ΔH_f (0 K), meV/atom: 330

DFT (GGA-PBEsol) results for a geometry-optimized CsTa3Ga structure.

Cell: 4.906 4.906 4.906 Å, 90.00 90.00 90.00°
Space group Pm-3m (No. 221)
One atom of each set of equivalent atoms:
Cs 0.000 0.000 0.000 [1 per cell]
Ta 0.000 0.500 0.500 [3 per cell]
Ga 0.500 0.500 0.500 [1 per cell]

Results
DOS(E_F), states/eV/f.u.: 8.4
ΔH_f (0 K), meV/atom: 1916

DFT (GGA-PBEsol) results for a geometry-optimized CsTaGa2 structure.

Cell: 7.102 7.102 7.102 Å, 90.00 90.00 90.00°
Space group Fm-3m (No. 225)
One atom of each set of equivalent atoms:
Cs 0.000 0.000 0.000 [4 per cell]
Ta 0.000 0.000 0.500 [4 per cell]
Ga 0.250 0.250 0.250 [8 per cell]

Results
DOS(E_F), states/eV/f.u.: 4.1
ΔH_f (0 K), meV/atom: 1099

DFT (GGA-PBEsol) results for a geometry-optimized CsTaZn2Ga structure.

Cell: 5.607 5.607 5.382 Å, 90.00 90.00 90.00°
Space group P4/mmm (No. 123)
One atom of each set of equivalent atoms:
Cs 0.000 0.000 0.000 [1 per cell]
Ta 0.000 0.000 0.500 [1 per cell]
Zn 0.000 0.500 0.000 [2 per cell]
Ga 0.500 0.500 0.500 [1 per cell]

Results
DOS(E_F), states/eV/f.u.: 4.5
ΔH_f (0 K), meV/atom: 2321

DFT (GGA-PBEsol) results for a geometry-optimized CsGaTe2 structure.

Cell: 8.242 8.242 9.022 Å, 90.00 90.00 90.00°
Space group I-42d (No. 122)
One atom of each set of equivalent atoms:
Cs 0.000 0.000 0.000 [4 per cell]
Ga 0.000 0.000 0.500 [4 per cell]
Te 0.145 0.250 0.625 [8 per cell]

Results
Raw formation energy, eV/atom: -0.66

DFT (GGA-PBEsol) results for a geometry-optimized CsGaTe2 structure.

Cell: 11.798 11.797 17.901 Å, 90.00 99.45 90.00°
Space group C2/c (No. 15)
One atom of each set of equivalent atoms:
Cs 0.037 0.187 0.402 [8 per cell]
Cs 0.214 0.437 0.108 [8 per cell]
Ga 0.104 0.188 0.671 [8 per cell]
Ga 0.144 0.437 0.828 [8 per cell]
Te 0.000 0.048 0.750 [4 per cell]
Te 0.000 0.423 0.250 [4 per cell]
Te 0.043 0.313 0.921 [8 per cell]
Te 0.208 0.062 0.580 [8 per cell]
Te 0.236 0.188 0.251 [8 per cell]

Results
Raw formation energy, eV/atom: -0.72

DFT (GGA-PBEsol) results for a geometry-optimized CsTiGa3 structure.

Cell: 5.545 5.545 5.545 Å, 90.00 90.00 90.00°
Space group Pm-3m (No. 221)
One atom of each set of equivalent atoms:
Cs 0.000 0.000 0.000 [1 per cell]
Ti 0.500 0.500 0.500 [1 per cell]
Ga 0.000 0.000 0.500 [3 per cell]

Results
DOS(E_F), states/eV/f.u.: 6.5
ΔH_f (0 K), meV/atom: 1747

DFT (GGA-PBEsol) results for a geometry-optimized CsZn2Ga2 structure.

Cell: 4.388 4.388 13.260 Å, 90.00 90.00 90.00°
Space group I4/mmm (No. 139)
One atom of each set of equivalent atoms:
Cs 0.000 0.000 0.000 [2 per cell]
Zn 0.000 0.500 0.250 [4 per cell]
Ga 0.000 0.000 0.345 [4 per cell]

Results
DOS(E_F), states/eV/f.u.: 2.2
ΔH_f (0 K), meV/atom: 49

DFT (GGA-PBEsol) results for a geometry-optimized CsGdHgSe3 structure.

Cell: 4.240 15.815 10.973 Å, 90.00 90.00 90.00°
Space group Cmcm (No. 63)
One atom of each set of equivalent atoms:
Cs 0.000 0.246 0.250 [4 per cell]
Gd 0.000 0.500 0.000 [4 per cell]
Hg 0.000 0.044 0.750 [4 per cell]
Se 0.000 0.122 0.542 [8 per cell]
Se 0.000 0.436 0.750 [4 per cell]

Results
Raw formation energy, eV/atom: -1.26

DFT (GGA-PBEsol) results for a geometry-optimized Cs3GdP2O8 structure.

Cell: 10.348 10.349 10.515 Å, 90.00 107.93 90.00°
Space group P2_1 (No. 4)
One atom of each set of equivalent atoms:
Cs 0.009 0.000 0.294 [2 per cell]
Cs 0.033 0.645 0.170 [2 per cell]
Cs 0.268 0.929 0.065 [2 per cell]
Cs 0.291 0.516 0.524 [2 per cell]
Cs 0.330 0.400 0.958 [2 per cell]
Cs 0.472 0.097 0.718 [2 per cell]
Gd 0.160 0.849 0.666 [2 per cell]
Gd 0.340 0.206 0.331 [2 per cell]
P 0.095 0.326 0.142 [2 per cell]
P 0.136 0.200 0.578 [2 per cell]
P 0.361 0.857 0.423 [2 per cell]
P 0.402 0.720 0.852 [2 per cell]
O 0.012 0.741 0.501 [2 per cell]
O 0.026 0.844 0.800 [2 per cell]
O 0.053 0.381 0.999 [2 per cell]
O 0.126 0.062 0.635 [2 per cell]
O 0.138 0.181 0.147 [2 per cell]
O 0.200 0.295 0.692 [2 per cell]
O 0.220 0.193 0.479 [2 per cell]
O 0.225 0.395 0.236 [2 per cell]
O 0.270 0.653 0.760 [2 per cell]
O 0.274 0.869 0.519 [2 per cell]
O 0.294 0.767 0.306 [2 per cell]
O 0.368 0.868 0.835 [2 per cell]
O 0.382 0.994 0.371 [2 per cell]
O 0.435 0.680 0.999 [2 per cell]
O 0.476 0.190 0.200 [2 per cell]
O 0.496 0.305 0.496 [2 per cell]

Results
DOS(E_F), states/eV/f.u.: 0.0
Raw formation energy, eV/atom: -2.58

DFT (GGA-PBEsol) results for a geometry-optimized CsGdP4O12 structure.

Cell: 10.358 8.952 12.900 Å, 90.00 123.82 90.00°
Space group P2_1/c (No. 14)
One atom of each set of equivalent atoms:
Cs 0.225 0.064 0.041 [4 per cell]
Gd 0.316 0.726 0.818 [4 per cell]
P 0.030 0.028 0.285 [4 per cell]
P 0.200 0.608 0.026 [4 per cell]
P 0.328 0.173 0.368 [4 per cell]
P 0.389 0.092 0.743 [4 per cell]
O 0.041 0.544 0.905 [4 per cell]
O 0.077 0.583 0.724 [4 per cell]
O 0.127 0.597 0.296 [4 per cell]
O 0.159 0.159 0.347 [4 per cell]
O 0.163 0.711 0.098 [4 per cell]
O 0.269 0.049 0.599 [4 per cell]
O 0.280 0.207 0.758 [4 per cell]
O 0.299 0.665 0.984 [4 per cell]
O 0.372 0.031 0.335 [4 per cell]
O 0.424 0.542 0.324 [4 per cell]
O 0.432 0.244 0.493 [4 per cell]
O 0.478 0.677 0.744 [4 per cell]

Results
DOS(E_F), states/eV/f.u.: 0.0
Raw formation energy, eV/atom: -2.48

DFT (GGA-PBEsol) results for a geometry-optimized CsGdW2O8 structure.

Cell: 10.767 10.668 7.538 Å, 90.00 130.22 90.00°
Space group C2/c (No. 15)
One atom of each set of equivalent atoms:
Cs 0.000 0.198 0.250 [4 per cell]
Gd 0.000 0.227 0.750 [4 per cell]
W 0.193 0.496 0.725 [8 per cell]
O 0.022 0.393 0.969 [8 per cell]
O 0.134 0.081 0.700 [8 per cell]
O 0.186 0.435 0.437 [8 per cell]
O 0.223 0.157 0.130 [8 per cell]

Results
DOS(E_F), states/eV/f.u.: 0.0
Raw formation energy, eV/atom: -2.53

DFT (GGA-PBEsol) results for a geometry-optimized CsGdSiS4 structure.

Cell: 6.328 6.615 17.545 Å, 90.00 90.00 90.00°
Space group P2_12_12_1 (No. 19)
One atom of each set of equivalent atoms:
Cs 0.014 0.008 0.468 [4 per cell]
Gd 0.207 0.021 0.728 [4 per cell]
Si 0.209 0.517 0.333 [4 per cell]
S 0.055 0.013 0.095 [4 per cell]
S 0.066 0.249 0.855 [4 per cell]
S 0.104 0.750 0.846 [4 per cell]
S 0.111 0.572 0.219 [4 per cell]

Results
DOS(E_F), states/eV/f.u.: 0.0
Raw formation energy, eV/atom: -1.48

DFT (GGA-PBEsol) results for a geometry-optimized CsGdTe4 structure.

Cell: 6.768 6.768 9.427 Å, 90.00 90.00 90.00°
Space group P4/nbm (No. 125, origin choice 2)
One atom of each set of equivalent atoms:
Cs 0.250 0.250 0.000 [2 per cell]
Gd 0.250 0.250 0.500 [2 per cell]
Te 0.103 0.603 0.306 [8 per cell]

Results
DOS(E_F), states/eV/f.u.: 1.5
Raw formation energy, eV/atom: -0.97